Entry 1:
Here is a relaxed structure of CsSrIn2Rh from Alexandria via LeMat-Bulk. Energies are from PBE.

The structure belongs to space group P4/mmm (No. 123); the cell edges are 5.369, 5.369 and 5.750 Å and the angles 90.00°, 90.00° and 90.00°. The distinct sites, in fractional coordinates, are Cs at (0.000, 0.000, 0.000), Sr at (0.500, 0.500, 0.000), In at (0.000, 0.500, 0.500) and Rh at (0.500, 0.500, 0.500).

The density of states at the Fermi level is 0.6899 states/eV per atom. The value obtained for the formation energy is -0.22 eV per atom. As for the total magnetization: 0.0 μB/f.u.


Entry 2:
Here is a relaxed structure of CsTlIn2Rh from Alexandria via LeMat-Bulk. Energies are from PBE.

The structure belongs to space group P4/mmm (No. 123); the cell edges are 5.307, 5.307 and 5.440 Å and the angles 90.00°, 90.00° and 90.00°. The distinct sites, in fractional coordinates, are Cs at (0.000, 0.000, 0.000), Tl at (0.500, 0.500, 0.000), In at (0.000, 0.500, 0.500) and Rh at (0.500, 0.500, 0.500).

The density of states at the Fermi level is 0.7366 states/eV per atom. The value obtained for the formation energy is -0.15 eV per atom. As for the total magnetization: 0.0 μB/f.u.


Entry 3:
Here is a relaxed structure of CsV2InRh from Alexandria via LeMat-Bulk. Energies are from PBE.

The structure belongs to space group P4/mmm (No. 123); the cell edges are 4.961, 4.961 and 4.959 Å and the angles 90.00°, 90.00° and 90.00°. The distinct sites, in fractional coordinates, are Cs at (0.000, 0.000, 0.000), V at (0.000, 0.500, 0.000), In at (0.500, 0.500, 0.500) and Rh at (0.000, 0.000, 0.500).

The density of states at the Fermi level is 1.2595 states/eV per atom. The value obtained for the formation energy is 2.18 eV per atom. As for the total magnetization: 4.9 μB/f.u.


Entry 4:
Here is a relaxed structure of CsZn2InRh from Alexandria via LeMat-Bulk. Energies are from PBE.

The structure belongs to space group P4/mmm (No. 123); the cell edges are 6.211, 6.211 and 5.101 Å and the angles 90.00°, 90.00° and 90.00°. The distinct sites, in fractional coordinates, are Cs at (0.000, 0.000, 0.000), Zn at (0.000, 0.500, 0.000), In at (0.500, 0.500, 0.500) and Rh at (0.000, 0.000, 0.500).

The density of states at the Fermi level is 1.3237 states/eV per atom. The value obtained for the formation energy is 1.26 eV per atom. As for the total magnetization: 0.0 μB/f.u.


Entry 5:
Here is a relaxed structure of CsZn2InRh from Alexandria via LeMat-Bulk. Energies are from PBE.

The structure belongs to space group P4/mmm (No. 123); the cell edges are 5.092, 5.092 and 5.203 Å and the angles 90.00°, 90.00° and 90.00°. The distinct sites, in fractional coordinates, are Cs at (0.000, 0.000, 0.000), Zn at (0.000, 0.500, 0.500), In at (0.500, 0.500, 0.000) and Rh at (0.500, 0.500, 0.500).

The density of states at the Fermi level is 0.3439 states/eV per atom. The value obtained for the formation energy is -0.13 eV per atom. As for the total magnetization: 0.0 μB/f.u.


Entry 6:
Here is a relaxed structure of CsIn3Ru from Alexandria via LeMat-Bulk. Energies are from PBE.

The structure belongs to space group Pm-3m (No. 221); the cell edges are 6.265, 6.265 and 6.265 Å and the angles 90.00°, 90.00° and 90.00°. The distinct sites, in fractional coordinates, are Cs at (0.000, 0.000, 0.000), In at (0.000, 0.000, 0.500) and Ru at (0.500, 0.500, 0.500).

The density of states at the Fermi level is 1.8833 states/eV per atom. The value obtained for the formation energy is 1.98 eV per atom. As for the total magnetization: 2.2 μB/f.u.


Entry 7:
Here is a relaxed structure of Cs2In4Ru from Alexandria via LeMat-Bulk. Energies are from PBE.

The structure belongs to space group I4/mmm (No. 139); the cell edges are 5.274, 5.274 and 20.132 Å and the angles 90.00°, 90.00° and 90.00°. The distinct sites, in fractional coordinates, are Cs at (0.000, 0.000, 0.165), In at (0.000, 0.000, 0.372), In at (0.000, 0.500, 0.000) and Ru at (0.000, 0.000, 0.500).

The density of states at the Fermi level is 0.5124 states/eV per atom. The value obtained for the formation energy is -0.02 eV per atom. As for the total magnetization: 0.0 μB/f.u.


Entry 8:
Here is a relaxed structure of Cs2InRu from Alexandria via LeMat-Bulk. Energies are from PBE.

The structure belongs to space group Fm-3m (No. 225); the cell edges are 8.685, 8.685 and 8.685 Å and the angles 90.00°, 90.00° and 90.00°. The distinct sites, in fractional coordinates, are Cs at (0.250, 0.250, 0.250), In at (0.000, 0.000, 0.000) and Ru at (0.000, 0.000, 0.500).

The density of states at the Fermi level is 2.5647 states/eV per atom. The value obtained for the formation energy is 1.19 eV per atom. As for the total magnetization: 1.5 μB/f.u.


Entry 9:
Here is a relaxed structure of CsIn2Ru from Alexandria via LeMat-Bulk. Energies are from PBE.

The structure belongs to space group I4_1/amd (No. 141, origin choice 2); the cell edges are 7.023, 7.023 and 14.670 Å and the angles 90.00°, 90.00° and 90.00°. The distinct sites, in fractional coordinates, are Cs at (0.000, 0.250, 0.375), In at (0.000, 0.000, 0.000) and Ru at (0.000, 0.250, 0.875).

The density of states at the Fermi level is 0.6900 states/eV per atom. The value obtained for the formation energy is 0.33 eV per atom. As for the total magnetization: 0.0 μB/f.u.


Entry 10:
Here is a relaxed structure of CsIn2Ru from Alexandria via LeMat-Bulk. Energies are from PBE.

The structure belongs to space group Fm-3m (No. 225); the cell edges are 7.607, 7.607 and 7.607 Å and the angles 90.00°, 90.00° and 90.00°. The distinct sites, in fractional coordinates, are Cs at (0.000, 0.000, 0.000), In at (0.250, 0.250, 0.250) and Ru at (0.000, 0.000, 0.500).

The density of states at the Fermi level is 0.8232 states/eV per atom. The value obtained for the formation energy is 0.90 eV per atom. As for the total magnetization: 1.0 μB/f.u.


Entry 11:
Here is a relaxed structure of Cs2InRu from Alexandria via LeMat-Bulk. Energies are from PBE.

The structure belongs to space group I-42d (No. 122); the cell edges are 12.712, 12.712 and 5.249 Å and the angles 90.00°, 90.00° and 90.00°. The distinct sites, in fractional coordinates, are Cs at (0.007, 0.250, 0.125), In at (0.000, 0.000, 0.500) and Ru at (0.000, 0.000, 0.000).

The density of states at the Fermi level is 0.9683 states/eV per atom. The value obtained for the formation energy is 0.65 eV per atom. As for the total magnetization: 0.5 μB/f.u.


Entry 12:
Here is a relaxed structure of CsIn3Ru from Alexandria via LeMat-Bulk. Energies are from PBE.

The structure belongs to space group Pm-3m (No. 221); the cell edges are 5.311, 5.311 and 5.311 Å and the angles 90.00°, 90.00° and 90.00°. The distinct sites, in fractional coordinates, are Cs at (0.000, 0.000, 0.000), In at (0.000, 0.500, 0.500) and Ru at (0.500, 0.500, 0.500).

The density of states at the Fermi level is 0.0834 states/eV per atom. The value obtained for the formation energy is -0.11 eV per atom. As for the total magnetization: 0.0 μB/f.u.


Entry 13:
Here is a relaxed structure of CsIn2SnRu from Alexandria via LeMat-Bulk. Energies are from PBE.

The structure belongs to space group P4/mmm (No. 123); the cell edges are 5.310, 5.310 and 5.219 Å and the angles 90.00°, 90.00° and 90.00°. The distinct sites, in fractional coordinates, are Cs at (0.000, 0.000, 0.000), In at (0.000, 0.500, 0.500), Sn at (0.500, 0.500, 0.000) and Ru at (0.500, 0.500, 0.500).

The density of states at the Fermi level is 0.7432 states/eV per atom. The value obtained for the formation energy is -0.07 eV per atom. As for the total magnetization: 0.0 μB/f.u.


Entry 14:
Here is a relaxed structure of CsZnIn2Ru from Alexandria via LeMat-Bulk. Energies are from PBE.

The structure belongs to space group P4/mmm (No. 123); the cell edges are 5.282, 5.282 and 5.133 Å and the angles 90.00°, 90.00° and 90.00°. The distinct sites, in fractional coordinates, are Cs at (0.000, 0.000, 0.000), Zn at (0.500, 0.500, 0.000), In at (0.000, 0.500, 0.500) and Ru at (0.500, 0.500, 0.500).

The density of states at the Fermi level is 0.4609 states/eV per atom. The value obtained for the formation energy is -0.01 eV per atom. As for the total magnetization: 0.0 μB/f.u.


Entry 15:
Here is a relaxed structure of CsInS from Alexandria via LeMat-Bulk. Energies are from PBE.

The structure belongs to space group Fddd (No. 70, origin choice 2); the cell edges are 10.564, 12.139 and 15.960 Å and the angles 90.00°, 90.00° and 90.00°. The distinct sites, in fractional coordinates, are Cs at (0.125, 0.125, 0.266), In at (0.000, 0.000, 0.500) and S at (0.117, 0.375, 0.875).

Its uncorrected formation energy is -0.440 eV per atom. The density of states at the Fermi level is 0.5260 states/eV per atom. As for the total magnetization: 0.0 μB/f.u.


Entry 16:
Here is a relaxed structure of CsIn2S4 from Alexandria via LeMat-Bulk. Energies are from PBE.

The structure belongs to space group Cmcm (No. 63); the cell edges are 3.900, 13.251 and 14.112 Å and the angles 90.00°, 90.00° and 90.00°. The distinct sites, in fractional coordinates, are Cs at (0.000, 0.098, 0.250), In at (0.000, 0.360, 0.057), S at (0.000, 0.000, 0.000), S at (0.000, 0.260, 0.604) and S at (0.000, 0.387, 0.250).

Its uncorrected formation energy is -0.453 eV per atom. The density of states at the Fermi level is 0.6966 states/eV per atom. As for the total magnetization: 1.0 μB/f.u.


Entry 17:
Here is a relaxed structure of CsInS2 from Alexandria via LeMat-Bulk. Energies are from PBE.

The structure belongs to space group C2/c (No. 15); the cell edges are 11.434, 11.434 and 16.585 Å and the angles 90.00°, 99.89° and 90.00°. The distinct sites, in fractional coordinates, are Cs at (0.036, 0.187, 0.392), Cs at (0.214, 0.439, 0.107), In at (0.103, 0.189, 0.665), In at (0.145, 0.436, 0.834), S at (0.000, 0.056, 0.750), S at (0.000, 0.431, 0.250), S at (0.043, 0.313, 0.927), S at (0.206, 0.063, 0.576) and S at (0.243, 0.188, 0.249).

Its uncorrected formation energy is -0.975 eV per atom. The density of states at the Fermi level is 0.0000 states/eV per atom. As for the total magnetization: 0.0 μB/f.u.


Entry 18:
Here is a relaxed structure of Cs5InS4 from Alexandria via LeMat-Bulk. Energies are from PBE.

The structure belongs to space group C2/m (No. 12); the cell edges are 20.341, 4.651 and 8.929 Å and the angles 90.00°, 105.33° and 90.00°. The distinct sites, in fractional coordinates, are Cs at (0.000, 0.000, 0.000), Cs at (0.158, 0.500, 0.841), Cs at (0.167, 0.500, 0.353), In at (0.000, 0.000, 0.500), S at (0.002, 0.500, 0.292) and S at (0.137, 0.000, 0.584).

Its uncorrected formation energy is -0.756 eV per atom. As for the total magnetization: 0.0 μB/f.u.


Entry 19:
Here is a relaxed structure of Cs3InS3 from Alexandria via LeMat-Bulk. Energies are from PBE.

The structure belongs to space group C2/m (No. 12); the cell edges are 9.427, 14.264 and 8.377 Å and the angles 90.00°, 103.06° and 90.00°. The distinct sites, in fractional coordinates, are Cs at (0.000, 0.180, 0.000), Cs at (0.000, 0.249, 0.500), Cs at (0.115, 0.500, 0.848), In at (0.170, 0.000, 0.648), S at (0.099, 0.000, 0.334) and S at (0.204, 0.358, 0.225).

Its uncorrected formation energy is -1.075 eV per atom. The density of states at the Fermi level is 0.0000 states/eV per atom. As for the total magnetization: 0.0 μB/f.u.


Entry 20:
Here is a relaxed structure of CsInS3 from Alexandria via LeMat-Bulk. Energies are from PBE.

The structure belongs to space group Pm-3m (No. 221); the cell edges are 5.706, 5.706 and 5.706 Å and the angles 90.00°, 90.00° and 90.00°. The distinct sites, in fractional coordinates, are Cs at (0.000, 0.000, 0.000), In at (0.500, 0.500, 0.500) and S at (0.000, 0.000, 0.500).

Its uncorrected formation energy is 0.926 eV per atom. The density of states at the Fermi level is 1.3176 states/eV per atom. As for the total magnetization: 1.7 μB/f.u.


The evaluated calculated volume for the records listed, in turn: 165.76 153.20 122.08 196.77 134.87 245.88 279.97 163.77 180.88 110.04 212.07 149.81 147.14 143.21 127.91 182.30 133.51 407.29 274.32 185.77 Å³/f.u..